Record 1
DFT (PBE) results for a geometry-optimized AlBiRhN2 structure.

Unit cell a=3.926 b=3.926 c=5.778 alpha=90.00 beta=90.00 gamma=90.00
Space group P4/mmm (No. 123)
Inequivalent atoms, fractional coordinates:
Al 0.000 0.000 0.000
Bi 0.500 0.500 0.000
Rh 0.500 0.500 0.500
N 0.000 0.500 0.500

Summary:
formation energy from raw total energies: 5.49 eV per formula unit
total moment: 0.000 Bohr magnetons per cell
N(E_F): 4.2 states/eV/f.u.

=====

Record 2
DFT (PBE) results for a geometry-optimized AlBiSN2 structure.

Unit cell a=4.244 b=4.244 c=5.573 alpha=90.00 beta=90.00 gamma=90.00
Space group P4/mmm (No. 123)
Inequivalent atoms, fractional coordinates:
Al 0.000 0.000 0.000
Bi 0.500 0.500 0.500
S 0.500 0.500 0.000
N 0.000 0.500 0.500

Summary:
formation energy from raw total energies: 7.51 eV per formula unit
total moment: 1.350 Bohr magnetons per cell
ΔE to the lowest computed polymorph: 1.016 eV per atom
N(E_F): 4.2 states/eV/f.u.

=====

- Which of these has the highest total moment?
  AlBiSN2